20
Lattice="-4.899 6.448 2.895 4.899 -6.448 2.895 4.899 6.448 -2.895" Properties=species:S:1:pos:R:3 comment="Pm2Si3Pt5 PBE-GGA relaxed" polymorph_energy_ev_per_atom=0.0000 energy_ev_per_atom=-6.679 spacegroup="Ibam, No. 72" e_form_raw_ev_per_atom=-1.081 pbc="T T T"
Pm 2.308 1.642 0.000
Pm 2.308 -1.642 2.895
Pm 2.591 8.090 0.000
Pm 2.591 4.806 2.895
Si 6.295 1.432 0.000
Si 0.000 0.000 1.447
Si 1.396 5.016 0.000
Si 3.504 1.432 2.895
Si 0.000 0.000 4.342
Si -1.396 5.016 2.895
Pt 4.899 -2.826 1.447
Pt 3.756 -4.880 2.895
Pt 4.899 0.000 1.447
Pt 3.756 4.880 0.000
Pt 4.899 2.826 1.447
Pt 0.000 3.622 1.447
Pt 1.144 1.568 2.895
Pt 0.000 6.448 1.447
Pt 1.144 11.328 0.000
Pt 0.000 9.274 1.447

***

17
Lattice="-4.209 4.209 4.209 4.209 -4.209 4.209 4.209 4.209 -4.209" Properties=species:S:1:pos:R:3 comment="PmSi4Pt12 PBE-GGA relaxed" energy_ev_per_atom=-6.293 spacegroup="Im-3, No. 204" e_form_raw_ev_per_atom=-0.473 pbc="T T T"
Pm 0.000 0.000 0.000
Si 2.105 2.105 -2.105
Si 2.105 -2.105 2.105
Si -2.105 2.105 2.105
Si 2.105 2.105 2.105
Pt 2.869 1.366 0.000
Pt 5.550 1.366 0.000
Pt 4.209 -1.340 2.844
Pt 2.844 4.209 -1.340
Pt 1.366 0.000 2.869
Pt 4.209 1.340 2.844
Pt 0.000 2.869 1.366
Pt 2.844 4.209 1.340
Pt 1.366 0.000 5.550
Pt 0.000 5.550 1.366
Pt -1.340 2.844 4.209
Pt 1.340 2.844 4.209

***

24
Lattice="11.822 0.000 0.000 0.000 4.134 0.000 0.000 0.000 12.053" Properties=species:S:1:pos:R:3 comment="Pm3SiPt2 PBE-GGA relaxed" energy_ev_per_atom=-6.253 spacegroup="Pnma, No. 62" e_form_raw_ev_per_atom=-0.960 pbc="T T T"
Pm 0.699 1.034 1.452
Pm 1.430 3.101 6.709
Pm 2.339 1.034 9.719
Pm 3.572 3.101 3.693
Pm 4.481 1.034 0.682
Pm 5.212 3.101 7.478
Pm 6.610 1.034 4.575
Pm 7.342 3.101 11.371
Pm 8.250 1.034 8.361
Pm 9.483 3.101 2.334
Pm 10.392 1.034 5.345
Pm 11.123 3.101 10.602
Si 1.442 1.034 4.414
Si 4.469 3.101 10.441
Si 7.354 1.034 1.613
Si 10.380 3.101 7.640
Pt 0.282 3.101 3.746
Pt 2.200 3.101 11.842
Pt 3.712 1.034 5.815
Pt 5.629 1.034 9.773
Pt 6.193 3.101 2.281
Pt 8.111 3.101 6.239
Pt 9.623 1.034 0.212
Pt 11.540 1.034 8.307

***

28
Lattice="5.710 0.000 0.000 0.000 8.093 0.000 0.000 0.000 13.263" Properties=species:S:1:pos:R:3 comment="Pm3Si2Pt2 PBE-GGA relaxed" energy_ev_per_atom=-6.311 spacegroup="Pbcm, No. 57" e_form_raw_ev_per_atom=-0.999 pbc="T T T"
Pm 0.726 0.895 1.379
Pm 0.726 0.895 5.253
Pm 0.726 3.152 8.010
Pm 0.726 3.152 11.884
Pm 2.038 6.065 9.947
Pm 2.038 6.075 3.316
Pm 3.671 2.018 9.947
Pm 3.671 2.029 3.316
Pm 4.983 4.942 1.379
Pm 4.983 4.942 5.253
Pm 4.983 7.199 8.010
Pm 4.983 7.199 11.884
Si 0.884 0.809 9.947
Si 0.884 3.237 3.316
Si 1.987 6.070 0.000
Si 1.987 6.070 6.631
Si 3.723 2.023 0.000
Si 3.723 2.023 6.631
Si 4.825 4.856 9.947
Si 4.825 7.284 3.316
Pt 2.187 0.349 7.859
Pt 2.187 0.349 12.035
Pt 2.187 3.697 1.228
Pt 2.187 3.697 5.404
Pt 3.523 4.396 7.859
Pt 3.523 4.396 12.035
Pt 3.523 7.744 1.228
Pt 3.523 7.744 5.404

***

24
Lattice="11.729 0.000 0.000 0.000 4.315 0.000 0.000 0.000 11.696" Properties=species:S:1:pos:R:3 comment="Pm3Si2Pt PBE-GGA relaxed" polymorph_energy_ev_per_atom=0.0000 energy_ev_per_atom=-6.057 spacegroup="Pnma, No. 62" e_form_raw_ev_per_atom=-0.867 pbc="T T T"
Pm 0.694 1.079 1.418
Pm 1.381 3.236 6.553
Pm 2.429 1.079 9.445
Pm 3.436 3.236 3.597
Pm 4.483 1.079 0.705
Pm 5.170 3.236 7.266
Pm 6.559 1.079 4.430
Pm 7.246 3.236 10.992
Pm 8.293 1.079 8.100
Pm 9.300 3.236 2.251
Pm 10.348 1.079 5.144
Pm 11.035 3.236 10.278
Si 0.297 3.236 3.625
Si 2.285 3.236 11.650
Si 3.580 1.079 5.801
Si 5.567 1.079 9.473
Si 6.162 3.236 2.223
Si 8.149 3.236 5.895
Si 9.444 1.079 0.047
Si 11.432 1.079 8.071
Pt 1.523 1.079 4.272
Pt 4.342 3.236 10.120
Pt 7.387 1.079 1.577
Pt 10.206 3.236 7.425

***

18
Lattice="6.187 0.000 0.000 0.000 6.187 0.000 0.000 0.000 8.011" Properties=species:S:1:pos:R:3 comment="PmSi4Pt4 PBE-GGA relaxed" energy_ev_per_atom=-6.377 spacegroup="P4_2/nmc, No. 137" e_form_raw_ev_per_atom=-0.755 pbc="T T T"
Pm 1.547 4.640 2.003
Pm 4.640 1.547 6.009
Si 0.217 1.547 0.587
Si 1.547 0.217 4.593
Si 1.547 2.876 4.593
Si 2.876 1.547 0.587
Si 3.310 4.640 7.424
Si 4.640 3.310 3.419
Si 4.640 5.970 3.419
Si 5.970 4.640 7.424
Pt 0.159 1.547 3.018
Pt 1.547 0.159 7.023
Pt 1.547 2.934 7.023
Pt 2.934 1.547 3.018
Pt 3.253 4.640 4.994
Pt 4.640 3.253 0.988
Pt 4.640 6.027 0.988
Pt 6.027 4.640 4.994

***

5
Lattice="-2.041 2.041 5.510 2.041 -2.041 5.510 2.041 2.041 -5.510" Properties=species:S:1:pos:R:3 comment="PmSiPt3 PBE-GGA relaxed" polymorph_energy_ev_per_atom=0.0000 energy_ev_per_atom=-6.744 spacegroup="I4mm, No. 107" e_form_raw_ev_per_atom=-1.085 pbc="T T T"
Pm 0.000 0.000 0.000
Si 0.000 0.000 4.119
Pt 2.041 0.000 2.835
Pt 0.000 0.000 6.420
Pt 0.000 2.041 2.835

***

11
Lattice="4.017 -5.538 0.000 4.017 5.538 0.000 0.000 0.000 7.035" Properties=species:S:1:pos:R:3 comment="Pm7Si2Pt2 PBE-GGA relaxed" energy_ev_per_atom=-5.588 spacegroup="Cmmm, No. 65" e_form_raw_ev_per_atom=-0.481 pbc="T T T"
Pm 0.000 0.000 0.000
Pm 2.008 2.769 1.918
Pm 2.008 2.769 5.118
Pm 2.008 -2.769 1.918
Pm 2.008 -2.769 5.118
Pm 4.017 0.000 1.817
Pm 4.017 0.000 5.218
Si 1.258 0.000 3.518
Si 6.776 0.000 3.518
Pt 4.017 2.358 0.000
Pt 4.017 -2.358 0.000

***

11
Lattice="6.981 0.000 0.000 0.000 4.218 0.000 -0.493 0.000 8.247" Properties=species:S:1:pos:R:3 comment="Pm4Si5Pt2 PBE-GGA relaxed" energy_ev_per_atom=-6.078 spacegroup="P2/m, No. 10" e_form_raw_ev_per_atom=-0.787 pbc="T T T"
Pm 1.606 0.000 1.058
Pm 1.458 0.000 5.164
Pm 5.030 0.000 3.083
Pm 4.882 0.000 7.189
Si 0.287 2.109 7.320
Si 2.796 2.109 2.976
Si 3.490 2.109 0.000
Si 3.692 2.109 5.271
Si 6.201 2.109 0.927
Pt 0.420 2.109 2.995
Pt 6.068 2.109 5.252

***

8
Lattice="4.011 0.000 0.000 0.000 4.320 0.000 0.000 0.000 11.053" Properties=species:S:1:pos:R:3 comment="Pm4Si3Pt PBE-GGA relaxed" energy_ev_per_atom=-6.012 spacegroup="Pmm2, No. 25" e_form_raw_ev_per_atom=-0.848 pbc="T T T"
Pm 0.000 0.000 0.000
Pm 0.000 2.160 5.451
Pm 2.005 0.000 3.060
Pm 2.005 2.160 8.602
Si 0.000 0.000 7.761
Si 0.000 2.160 2.333
Si 2.005 0.000 6.243
Pt 2.005 2.160 0.658

***

14
Lattice="6.610 0.000 0.000 0.000 6.610 0.000 0.000 0.000 6.610" Properties=species:S:1:pos:R:3 comment="PmSi3Pt3 PBE-GGA relaxed" energy_ev_per_atom=-6.283 spacegroup="Pm-3n, No. 223" e_form_raw_ev_per_atom=-0.691 pbc="T T T"
Pm 0.000 0.000 0.000
Pm 3.305 3.305 3.305
Si 0.000 1.652 3.305
Si 0.000 4.957 3.305
Si 1.652 3.305 0.000
Si 3.305 0.000 1.652
Si 3.305 0.000 4.957
Si 4.957 3.305 0.000
Pt 0.000 3.305 1.652
Pt 0.000 3.305 4.957
Pt 1.652 0.000 3.305
Pt 3.305 1.652 0.000
Pt 3.305 4.957 0.000
Pt 4.957 0.000 3.305

***

21
Lattice="9.942 0.000 0.000 -4.971 8.610 0.000 0.000 0.000 4.001" Properties=species:S:1:pos:R:3 comment="Pm2Si7Pt12 PBE-GGA relaxed" energy_ev_per_atom=-6.620 spacegroup="P-3, No. 147" e_form_raw_ev_per_atom=-0.908 pbc="T T T"
Pm 0.000 5.740 0.984
Pm 4.971 2.870 3.017
Si 0.000 0.000 2.001
Si -0.854 3.472 2.987
Si -1.537 7.614 2.987
Si 2.580 2.476 1.015
Si 2.391 6.134 2.987
Si 6.508 0.996 1.015
Si 5.825 5.138 1.015
Pt -2.377 5.334 2.996
Pt -3.120 7.347 0.963
Pt 0.169 2.235 0.963
Pt 2.020 0.971 3.038
Pt 1.540 3.884 2.996
Pt 4.134 0.608 1.005
Pt 0.837 8.002 2.996
Pt 3.431 4.726 1.005
Pt 2.951 7.639 0.963
Pt 4.803 6.375 3.038
Pt 8.091 1.263 3.038
Pt 7.349 3.276 1.005

***

9
Lattice="-2.372 3.562 7.746 2.372 -3.562 7.746 2.372 3.562 -7.746" Properties=species:S:1:pos:R:3 comment="Pm6SiPt2 PBE-GGA relaxed" energy_ev_per_atom=-5.730 spacegroup="Immm, No. 71" e_form_raw_ev_per_atom=-0.618 pbc="T T T"
Pm 2.372 1.799 -2.554
Pm 0.000 1.724 0.000
Pm 2.372 1.799 2.554
Pm 0.000 1.763 5.192
Pm 0.000 5.399 0.000
Pm 0.000 1.763 10.299
Si 0.000 0.000 7.746
Pt 0.000 0.000 2.624
Pt 0.000 0.000 12.867

***

11
Lattice="9.653 -2.416 0.000 9.653 2.416 0.000 -1.649 0.000 6.674" Properties=species:S:1:pos:R:3 comment="Pm8Si2Pt PBE-GGA relaxed" energy_ev_per_atom=-5.439 spacegroup="C2/m, No. 12" e_form_raw_ev_per_atom=-0.449 pbc="T T T"
Pm 0.031 0.000 1.896
Pm 2.827 0.000 5.520
Pm 5.771 0.000 3.391
Pm 7.753 0.000 0.194
Pm 9.904 0.000 6.480
Pm 11.886 0.000 3.282
Pm 14.830 0.000 1.154
Pm 17.627 0.000 4.778
Si 3.120 0.000 1.648
Si 14.537 0.000 5.026
Pt 8.829 0.000 3.337

***

14
Lattice="7.840 -2.045 0.000 7.840 2.045 0.000 -5.546 0.000 7.796" Properties=species:S:1:pos:R:3 comment="Pm3Si4Pt7 PBE-GGA relaxed" energy_ev_per_atom=-6.651 spacegroup="C2/m, No. 12" e_form_raw_ev_per_atom=-1.063 pbc="T T T"
Pm 0.000 0.000 0.000
Pm 3.306 0.000 2.566
Pm 6.827 0.000 5.230
Si -2.843 0.000 6.432
Si 1.183 0.000 5.646
Si 8.950 0.000 2.150
Si 12.976 0.000 1.364
Pt -2.773 0.000 3.898
Pt 0.325 0.000 3.261
Pt -0.516 0.000 7.463
Pt 3.643 0.000 5.726
Pt 6.490 0.000 2.070
Pt 10.650 0.000 0.334
Pt 9.808 0.000 4.535

***

8
Lattice="-1.976 3.535 4.869 1.976 -3.535 4.869 1.976 3.535 -4.869" Properties=species:S:1:pos:R:3 comment="PmSi2Pt5 PBE-GGA relaxed" energy_ev_per_atom=-6.642 spacegroup="Immm, No. 71" e_form_raw_ev_per_atom=-0.916 pbc="T T T"
Pm 0.000 0.000 0.000
Si 1.976 0.000 2.463
Si 0.000 3.535 2.406
Pt 1.976 2.122 -1.450
Pt 1.976 2.122 1.450
Pt 0.000 3.535 0.000
Pt 0.000 1.413 3.418
Pt 0.000 1.413 6.319

***

19
Lattice="8.434 -3.710 0.000 8.434 3.710 0.000 -2.331 0.000 9.117" Properties=species:S:1:pos:R:3 comment="Pm12Si5Pt2 PBE-GGA relaxed" energy_ev_per_atom=-5.559 spacegroup="C2/m, No. 12" e_form_raw_ev_per_atom=-0.495 pbc="T T T"
Pm -0.544 0.000 2.516
Pm 3.443 1.941 8.249
Pm 4.886 1.793 3.914
Pm 9.651 1.793 5.203
Pm 11.094 1.941 0.868
Pm 7.734 0.000 1.658
Pm 6.804 0.000 7.459
Pm 3.443 -1.941 8.249
Pm 4.886 -1.793 3.914
Pm 9.651 -1.793 5.203
Pm 11.094 -1.941 0.868
Pm 15.081 0.000 6.601
Si 1.168 0.000 7.519
Si 2.466 0.000 3.306
Si 7.269 0.000 4.559
Si 12.071 0.000 5.811
Si 13.369 0.000 1.598
Pt 8.434 2.265 0.000
Pt 8.434 -2.265 0.000

***

12
Lattice="5.781 -2.132 0.000 5.781 2.132 0.000 -3.902 0.000 10.692" Properties=species:S:1:pos:R:3 comment="Pm5Si5Pt2 PBE-GGA relaxed" energy_ev_per_atom=-6.015 spacegroup="C2/m, No. 12" e_form_raw_ev_per_atom=-0.770 pbc="T T T"
Pm 0.000 0.000 0.000
Pm 2.003 0.000 5.392
Pm 3.499 0.000 2.438
Pm 4.162 0.000 8.254
Pm 5.657 0.000 5.300
Si -1.951 0.000 5.346
Si 0.021 0.000 3.062
Si -0.527 0.000 10.200
Si 8.187 0.000 0.492
Si 7.639 0.000 7.630
Pt 0.849 0.000 8.218
Pt 6.811 0.000 2.473